Entry 1:
{
  "formula": "YHoSc",
  "functional": "PBE-GGA",
  "state": "optimized geometry",
  "cell": [[3.4749, 0.0000, 0.0000], [0.0000, 3.4749, 0.0000], [-1.7374, -1.7374, 7.2455]],
  "species": ["Y", "Sc", "Ho"],
  "frac_coords": [[0.3286, 0.3286, 0.6572], [0.6655, 0.6655, 0.3311], [0.0059, 0.0059, 0.0117]],
  "de_polymorph_mev_per_atom": 9
}


Entry 2:
{
  "formula": "Tm2In3Hg2",
  "functional": "PBE-GGA",
  "state": "optimized geometry",
  "cell": [[-0.0561, 1.7410, 3.0593], [4.0168, -2.1239, 1.2823], [3.5423, 8.9207, -5.0118]],
  "species": ["Tm", "Tm", "In", "In", "In", "Hg", "Hg"],
  "frac_coords": [[0.0000, 0.8437, 0.6873], [0.0000, 0.1563, 0.3127], [0.5000, 0.5728, 0.1456], [0.5000, 0.4272, 0.8544], [0.0000, 0.0000, 0.0000], [0.5000, 0.7113, 0.4226], [0.5000, 0.2887, 0.5774]],
  "dft_energy_ha_per_atom": -0.10334
}


Entry 3:
{
  "formula": "TbDy4Ho2Sc",
  "functional": "PBE-GGA",
  "state": "optimized geometry",
  "cell": [[-2.4092, 4.3336, 0.0681], [-3.0903, -1.7722, 3.4477], [2.9792, 1.4903, 10.5610]],
  "species": ["Tb", "Dy", "Dy", "Dy", "Dy", "Ho", "Ho", "Sc"],
  "frac_coords": [[0.5000, 0.5000, 0.0000], [0.0000, 0.7553, 0.7449], [0.0000, 0.2447, 0.2551], [0.5000, 0.7448, 0.2550], [0.5000, 0.2552, 0.7450], [0.0000, 0.0000, 0.0000], [0.5000, 0.0000, 0.5000], [0.0000, 0.5000, 0.5000]],
  "dft_energy_ha_per_atom": -0.17586
}


The evaluated DOS at the Fermi energy for the records listed, in turn: 4.6, 4.0, 11.6 states/eV per cell.